Run P
Below is an optimized crystal structure of Fe2Ru2W, with properties calculated at the PBE level.

* crystal system: tetragonal
* total magnetization: 0.0000 μB/atom

abc: 3.6476 3.6476 10.3577
angles: 90.00 90.00 90.00
Closest atoms and distances in Å follow each position.
Space group I4/mmm (No. 139)
Asymmetric unit:
Fe 0.0000 0.0000 0.0976  1 Fe 2.02
Ru 0.0000 0.5000 0.2500  4 Fe 2.41, 4 Ru 2.58
W 0.0000 0.0000 0.5000  8 Fe 2.77


Run Q
Below is an optimized crystal structure of Fe2Ru2W, with properties calculated at the PBE level.

* crystal system: tetragonal
* total magnetization: 0.0000 μB/atom

abc: 7.0628 7.0628 2.6605
angles: 90.00 90.00 90.00
Closest atoms and distances in Å follow each position.
Space group P4/mbm (No. 127)
Asymmetric unit:
Fe 0.1693 0.3307 0.0000  6 Ru 2.43-2.50, 2 Fe 2.66
Ru 0.1274 0.6274 0.5000  6 Fe 2.43-2.50, 3 Ru 2.54-2.66
W 0.0000 0.0000 0.5000  2 W 2.66, 4 Ru 2.78, 8 Fe 2.94


The relative energies come out as run P 20.7; run Q 0.0, with values in kJ/mol of atoms.